3
Lattice="-0.372 -4.030 2.475 -0.287 -0.089 -4.734 3.226 -0.413 -0.188" Properties=species:S:1:pos:R:3 comment="ZrScAl PBE relaxed" formation_energy_ev_per_atom=-0.18 crystal_system=trigonal rho_g_cm3=4.27 pbc="T T T"
Sc 0.548 -2.830 0.020
Al 0.031 -0.004 -0.002
Zr 1.988 -1.698 -2.465

16
Lattice="4.389 0.000 0.000 0.000 6.250 0.000 0.000 0.000 12.497" Properties=species:S:1:pos:R:3 comment="ZrSc5Al2 PBE relaxed" formation_energy_ev_per_atom=-0.26 crystal_system=orthorhombic rho_g_cm3=3.58 pbc="T T T"
Zr 0.000 0.000 6.249
Zr 0.000 3.125 0.000
Sc 0.000 0.000 0.000
Sc 0.000 3.125 6.249
Sc 0.000 3.102 9.387
Sc 0.000 3.148 3.110
Sc 0.000 0.023 3.139
Sc 0.000 6.227 9.358
Sc 2.194 1.595 10.978
Sc 2.194 4.655 1.519
Sc 2.194 1.530 4.729
Sc 2.194 4.720 7.768
Al 2.194 1.552 7.808
Al 2.194 4.698 4.689
Al 2.194 1.573 1.559
Al 2.194 4.676 10.938

5
Lattice="-4.972 -0.816 0.403 0.441 -4.118 -2.898 0.795 -2.816 4.122" Properties=species:S:1:pos:R:3 comment="ZrScAl3 PBE relaxed" formation_energy_ev_per_atom=0.63 crystal_system=cubic rho_g_cm3=2.79 pbc="T T T"
Sc -1.868 -3.875 0.813
Al 0.220 -2.059 -1.449
Al 0.398 -1.408 2.061
Al -2.486 -0.408 0.201
Zr 0.000 0.000 0.000

10
Lattice="3.319 0.000 0.000 0.000 3.319 0.000 0.000 0.000 17.484" Properties=species:S:1:pos:R:3 comment="ZrSc4Al5 PBE relaxed" formation_energy_ev_per_atom=-0.42 crystal_system=tetragonal rho_g_cm3=3.50 pbc="T T T"
Zr 0.000 0.000 0.000
Sc 0.000 0.000 3.547
Sc 0.000 0.000 7.010
Sc 0.000 0.000 10.474
Sc 0.000 0.000 13.937
Al 1.659 1.659 1.788
Al 1.659 1.659 5.283
Al 1.659 1.659 8.742
Al 1.659 1.659 12.201
Al 1.659 1.659 15.696

12
Lattice="5.331 0.000 0.000 2.665 4.616 0.000 2.665 1.539 8.696" Properties=species:S:1:pos:R:3 comment="Zr3ScAl8 PBE relaxed" formation_energy_ev_per_atom=-0.53 crystal_system=trigonal rho_g_cm3=4.15 pbc="T T T"
Zr 5.331 3.078 7.606
Zr 2.665 1.539 8.691
Zr 5.331 3.078 4.359
Sc 7.996 4.616 3.251
Al 6.663 2.308 1.623
Al 6.661 5.387 5.988
Al 3.998 2.308 1.623
Al 9.331 5.387 5.988
Al 2.665 1.539 3.805
Al 7.996 4.616 8.155
Al 5.331 4.617 1.623
Al 7.996 3.075 5.988

10
Lattice="-0.555 -7.821 -0.048 7.236 -0.495 -2.978 1.280 -0.110 3.129" Properties=species:S:1:pos:R:3 comment="ZrSc2Al2 PBE relaxed" formation_energy_ev_per_atom=-0.32 crystal_system=tetragonal rho_g_cm3=3.75 pbc="T T T"
Sc 5.441 -1.775 -0.460
Sc 6.220 -5.757 -0.919
Sc 2.521 -6.651 0.563
Sc 1.742 -2.669 1.022
Al 6.149 -3.397 -2.635
Al 4.008 -7.180 -1.893
Al 0.532 -4.918 -0.391
Al 2.674 -1.135 -1.134
Zr 0.000 0.000 0.000
Zr 3.341 -4.158 -1.513

16
Lattice="4.391 0.000 0.000 0.000 6.195 0.000 0.000 0.000 12.361" Properties=species:S:1:pos:R:3 comment="Zr5ScAl2 PBE relaxed" formation_energy_ev_per_atom=-0.29 crystal_system=orthorhombic rho_g_cm3=5.48 pbc="T T T"
Zr 0.000 0.000 0.000
Zr 0.000 3.098 6.180
Zr 0.000 3.089 9.273
Zr 0.000 3.106 3.088
Zr 0.000 0.008 3.093
Zr 0.000 6.187 9.268
Zr 2.196 1.534 10.795
Zr 2.196 4.662 1.566
Zr 2.196 1.564 4.615
Zr 2.196 4.631 7.746
Sc 0.000 0.000 6.180
Sc 0.000 3.098 0.000
Al 2.196 1.549 7.721
Al 2.196 4.647 4.640
Al 2.196 1.549 1.541
Al 2.196 4.647 10.820

3
Lattice="-1.273 -1.018 -6.391 -4.036 -1.669 -4.942 -1.180 2.785 -1.003" Properties=species:S:1:pos:R:3 comment="ZrScAl PBE relaxed" formation_energy_ev_per_atom=-0.31 crystal_system=tetragonal rho_g_cm3=4.30 pbc="T T T"
Sc -3.903 -0.823 -7.815
Al -5.306 -2.682 -11.324
Zr -2.591 0.916 -4.531